Crystalline Pu2Mg3Cd3 at its relaxed geometry, computed with PBE-GGA.

a = 8.7942 Å, b = 8.7942 Å, c = 2.9866 Å
α = 90.00°, β = 90.00°, γ = 120.00°
Fractional positions:
Pu1 0.3333 0.6667 0.0000
Pu2 0.6667 0.3333 0.0000
Mg1 0.0000 0.7476 0.0000
Mg2 0.2524 0.2524 0.0000
Mg3 0.7476 0.0000 0.0000
Cd1 0.0000 0.3360 0.5000
Cd2 0.3360 0.0000 0.5000
Cd3 0.6640 0.6640 0.5000

## Properties
**Space-group type**: P-62m (189)
**Magnetic moment**: 12.05 μB/f.u.
**Formation energy**: 52 meV/atom